This record from Alexandria describes an optimized crystal structure of BaTiCrO6. The functional is PBE+U.

Output
**Magnetic moment**: 0.00 μB/f.u.
**Symmetry**: P3, No. 143
**VASP energy**: -66.47 eV/f.u.
**Calculated volume**: 132 Å³ per cell
**Fermi-level density of states**: 0.0 states/eV per cell

Cell: 5.1606 5.1606 5.7246 Å, 90.00 90.00 120.00°
Last column: nearest neighbours and their distance in Å.
Positions (direct):
Ba (0.0000, 0.0000, 0.0000)  6 O 2.65-2.78
Ti (0.3333, 0.6667, 0.5668)  3 O 1.85
Cr (0.6667, 0.3333, 0.4789)  3 O 1.73
O (0.4005, 0.3831, 0.3335)  1 Cr 1.73
O (0.4123, 0.0178, 0.7130)  1 Ti 1.85, 1 Cr 2.01
O (0.6055, 0.5877, 0.7130)  1 Ti 1.85, 1 Cr 2.01
O (0.6169, 0.0175, 0.3335)  1 Cr 1.73
O (0.9822, 0.3945, 0.7130)  1 Ti 1.85, 1 Cr 2.01
O (0.9825, 0.5995, 0.3335)  1 Cr 1.73